(1)
Computed, not measured: a geometry-optimized Mn2FeMoRu structure at the PBE level of DFT.

Values from the calculation:
DOS at the Fermi energy = 1.394 states/eV per atom

abc: 4.643 4.640 4.643
angles: 90.00 90.00 90.00
Last column: magnetic moment on the atom in μB.
Atoms (fractional coordinates):
Fe  0.500  0.500  0.500  3.22
Mn  0.000  0.000  0.500  3.64
Mo  0.000  0.500  0.000  -1.03
Ru  0.000  0.000  0.000  0.04
Mn  0.500  0.000  0.000  3.63

(2)
Computed, not measured: a geometry-optimized Li5In6Rh structure at the PBE level of DFT.

Values from the calculation:
DOS at the Fermi energy = 0.325 states/eV per atom

abc: 4.801 6.472 7.549
angles: 90.00 71.80 90.00
Atoms (fractional coordinates):
Rh  0.000  0.000  0.000
Li  0.663  0.000  0.673
In  0.500  0.251  0.000
Li  0.000  0.500  0.000
In  0.500  0.749  0.000
In  0.836  0.754  0.328
Li  0.674  0.500  0.652
In  0.164  0.246  0.672
In  0.164  0.754  0.672
Li  0.337  0.000  0.327
Li  0.326  0.500  0.348
In  0.836  0.246  0.328

| no. | energy (eV/atom) | energy of formation from the pure elements (eV per atom) |
| --- | --- | --- |
| 1 | -7.8667 | 1.52 |
| 2 | -3.0871 | -0.31 |